LaTbEr2P4 | PBE-GGA | relaxed

abc: 4.0639 7.0315 7.0359
angles: 70.57 90.00 90.00
With the nearest neighbours (Å) after each atom.
Atoms (fractional coordinates):
Er 0.5000 0.0000 0.5000  6 P 2.81
Er 0.0000 0.0000 0.0000  6 P 2.86
La 0.5000 0.5000 0.0000  6 P 2.93-2.94
P 0.5000 0.2422 0.7472  3 Er 2.81-2.86, 2 Tb 2.89, 1 La 2.93
P 0.0000 0.7621 0.7402  3 Er 2.81-2.86, 1 Tb 2.89, 2 La 2.94
P 0.5000 0.7578 0.2528  3 Er 2.81-2.86, 2 Tb 2.89, 1 La 2.93
P 0.0000 0.2379 0.2598  3 Er 2.81-2.86, 1 Tb 2.89, 2 La 2.94
Tb 0.0000 0.5000 0.5000  6 P 2.89

Values from the calculation:
volume = 189.6 Å³ per cell
calculated total energy = -6.62 eV per atom
formation enthalpy at 0 K = -153 kJ/mol of atoms

***

La2TbErP4 | PBE-GGA | relaxed

abc: 4.1396 7.1653 7.1632
angles: 109.46 90.00 90.00
With the nearest neighbours (Å) after each atom.
Atoms (fractional coordinates):
P 0.0000 0.7434 0.2351  2 Er 2.86, 1 Tb 2.88, 3 La 2.97-2.99
P 0.5000 0.7530 0.7639  1 Er 2.86, 2 Tb 2.88, 3 La 2.98-2.99
P 0.0000 0.2566 0.7649  2 Er 2.86, 1 Tb 2.88, 3 La 2.97-2.99
P 0.5000 0.2470 0.2361  1 Er 2.86, 2 Tb 2.88, 3 La 2.98-2.99
Er 0.5000 0.5000 0.0000  6 P 2.86
Tb 0.0000 0.0000 0.0000  6 P 2.88
La 0.0000 0.5000 0.5000  6 P 2.97-2.98
La 0.5000 0.0000 0.5000  6 P 2.99

Values from the calculation:
volume = 200.3 Å³ per cell
calculated total energy = -6.66 eV per atom
formation enthalpy at 0 K = -152 kJ/mol of atoms

***

La3Tb2ErP6 | PBE-GGA | relaxed

abc: 7.1746 7.1746 7.1750
angles: 99.59 99.59 120.00
With the nearest neighbours (Å) after each atom.
Atoms (fractional coordinates):
La 0.5000 0.5000 0.5000  6 P 2.98-2.99
La 0.8330 0.1670 0.5000  6 P 2.98-2.99
La 0.1670 0.8330 0.5000  6 P 2.98-2.99
Tb 0.6665 0.3335 0.0000  6 P 2.88
Tb 0.3335 0.6665 0.0000  6 P 2.88
P 0.9213 0.5899 0.7639  1 Er 2.86, 2 Tb 2.88, 3 La 2.98-2.99
P 0.0787 0.4101 0.2361  1 Er 2.86, 2 Tb 2.88, 3 La 2.98-2.99
P 0.5899 0.9213 0.7639  1 Er 2.86, 2 Tb 2.88, 3 La 2.98-2.99
P 0.2525 0.2525 0.7635  1 Er 2.87, 2 Tb 2.88, 3 La 2.98-2.99
P 0.4101 0.0787 0.2361  1 Er 2.86, 2 Tb 2.88, 3 La 2.98-2.99
P 0.7475 0.7475 0.2365  1 Er 2.87, 2 Tb 2.88, 3 La 2.98-2.99
Er 0.0000 0.0000 0.0000  6 P 2.86-2.87

Values from the calculation:
volume = 301.6 Å³ per cell
calculated total energy = -6.67 eV per atom
formation enthalpy at 0 K = -152 kJ/mol of atoms

***

LaErTeP | PBE-GGA | relaxed

abc: 4.1621 4.1623 7.8515
angles: 90.00 105.37 120.00
With the nearest neighbours (Å) after each atom.
Atoms (fractional coordinates):
La 0.1091 0.9525 0.0769  3 P 2.92
P 0.2942 0.5450 0.8545  3 Er 2.82, 3 La 2.92
Er 0.4960 0.1460 0.6572  3 P 2.82
Te 0.9785 0.3873 0.3810  3 Er 3.17, 3 La 3.31, 1 P 3.54

Values from the calculation:
volume = 112.1 Å³ per cell
calculated total energy = -6.04 eV per atom

***

LaEr3Th2P6 | PBE-GGA | relaxed

abc: 4.0866 8.1334 9.1010
angles: 102.51 102.97 90.00
With the nearest neighbours (Å) after each atom.
Atoms (fractional coordinates):
La 0.5000 0.0000 0.0000  6 P 2.95-2.96
P 0.6710 0.0799 0.3421  3 Er 2.83-2.85, 2 Th 2.91, 1 La 2.96
P 0.3290 0.9201 0.6579  3 Er 2.83-2.85, 2 Th 2.91, 1 La 2.96
P 0.0013 0.7388 0.0027  3 Er 2.82-2.84, 1 Th 2.90, 2 La 2.95
P 0.9987 0.2612 0.9973  3 Er 2.82-2.84, 1 Th 2.90, 2 La 2.95
P 0.3351 0.4118 0.6702  3 Er 2.85, 3 Th 2.92
P 0.6649 0.5882 0.3298  3 Er 2.85, 3 Th 2.92
Er 0.5000 0.5000 0.0000  6 P 2.82-2.85
Er 0.8345 0.1670 0.6689  6 P 2.83-2.85
Er 0.1655 0.8330 0.3311  6 P 2.83-2.85
Th 0.1662 0.3321 0.3324  6 P 2.90-2.92
Th 0.8338 0.6679 0.6676  6 P 2.90-2.92

Values from the calculation:
volume = 287.4 Å³ per cell
calculated total energy = -7.08 eV per atom
formation enthalpy at 0 K = -153 kJ/mol of atoms

***

LaEr2ThP4 | PBE-GGA | relaxed

abc: 4.0937 7.0466 7.0960
angles: 70.49 90.00 90.00
With the nearest neighbours (Å) after each atom.
Atoms (fractional coordinates):
Er 0.0000 0.0000 0.0000  6 P 2.86
Er 0.5000 0.0000 0.5000  6 P 2.82-2.83
La 0.5000 0.5000 0.0000  6 P 2.95
P 0.0000 0.2367 0.2590  3 Er 2.83-2.86, 1 Th 2.91, 2 La 2.95
P 0.0000 0.7633 0.7410  3 Er 2.83-2.86, 1 Th 2.91, 2 La 2.95
P 0.5000 0.7612 0.2501  3 Er 2.82-2.86, 2 Th 2.92, 1 La 2.95
P 0.5000 0.2388 0.7499  3 Er 2.82-2.86, 2 Th 2.92, 1 La 2.95
Th 0.0000 0.5000 0.5000  6 P 2.91-2.92

Values from the calculation:
volume = 192.9 Å³ per cell
calculated total energy = -6.98 eV per atom
formation enthalpy at 0 K = -154 kJ/mol of atoms

***

Number 1: total moment 0.000 μB per atom. Number 2: total moment 0.000 μB per atom. Number 3: total moment 0.000 μB per atom. Number 4: total moment 0.000 μB per atom. Number 5: total moment 0.000 μB per atom. Number 6: total moment 0.000 μB per atom.